[1]
Computed, not measured: crystalline InTeIrCl at its relaxed geometry at the PBE level of DFT.

Cell: 3.3864 3.5027 9.0304 Å, 79.18 80.24 90.00°
Element x y z (fractional)
In 0.0000 0.0000 0.0000
Te 0.8257 0.3140 0.3852
Ir 0.3895 0.8822 0.2444
Cl 0.0967 0.6048 0.7834

Summary:
* relative energy among the computed polymorphs: 0.114 eV/atom
* total moment: 0.0 μB per cell
* formation energy from raw total energies: -24.1 kJ per mole of atoms

[2]
Computed, not measured: crystalline InTeIrCl at its relaxed geometry at the PBE level of DFT.

Cell: 3.6790 3.6790 8.5002 Å, 90.00 90.00 120.00°
Element x y z (fractional)
In 0.0000 0.0000 0.0000
Te 0.0000 0.0000 0.6028
Ir 0.3333 0.6667 0.7776
Cl 0.6667 0.3333 0.2188

Summary:
* relative energy among the computed polymorphs: 0.044 eV/atom
* total moment: 0.0 μB per cell
* formation energy from raw total energies: -30.8 kJ per mole of atoms

[3]
Computed, not measured: crystalline InTeIrCl at its relaxed geometry at the PBE level of DFT.

Cell: 3.7020 3.7020 9.1506 Å, 107.10 107.10 59.99°
Element x y z (fractional)
In 0.0000 0.0000 0.0000
Te 0.1465 0.1465 0.6132
Ir 0.5613 0.5613 0.7812
Cl 0.4392 0.4392 0.2122

Summary:
* relative energy among the computed polymorphs: 0.002 eV/atom
* total moment: 0.0 μB per cell
* formation energy from raw total energies: -34.9 kJ per mole of atoms